Entry 1:
Entry from the Alexandria database: PtBr after structural relaxation (PBE).

Unit cell a=3.8610 b=3.8610 c=3.8610 alpha=60.00 beta=60.00 gamma=60.00
Fractional coordinates of all 2 atoms:
Pt  0.5000  0.5000  0.5000
Br  0.0000  0.0000  0.0000

Properties
E_form (uncorrected)   0.574 eV/atom
Magnetic moment   0.00 μB per cell


Entry 2:
Entry from the Alexandria database: PtBr after structural relaxation (PBE).

Unit cell a=3.2573 b=3.2573 c=8.4886 alpha=90.00 beta=90.00 gamma=90.00
Fractional coordinates of all 4 atoms:
Pt  0.0000  0.0000  0.5357
Pt  0.5000  0.5000  0.7143
Br  0.5000  0.5000  0.3327
Br  0.0000  0.0000  0.9173

Properties
E_form (uncorrected)   0.441 eV/atom
Magnetic moment   1.35 μB per cell


Entry 3:
Entry from the Alexandria database: PtBr5 after structural relaxation (PBE).

Unit cell a=2.9885 b=2.9885 c=20.3874 alpha=90.00 beta=90.00 gamma=90.00
Fractional coordinates of all 6 atoms:
Br  0.5000  0.5000  0.2937
Br  0.0000  0.0000  0.5000
Br  0.0000  0.0000  0.9023
Br  0.5000  0.5000  0.7063
Br  0.0000  0.0000  0.0977
Pt  0.5000  0.5000  0.0000

Properties
Polymorph energy (0 for the lowest one)   453 meV per atom
E_form (uncorrected)   0.481 eV/atom
Magnetic moment   0.00 μB per cell